# 1
{"formula": "BeTlFeBi", "functional": "GGA-PBE", "state": "relaxed", "m_tot_mub_per_cell": 2.7, "sg": "F-43m (216)", "mass_density_g_cm3": 9.836, "relative_energy_mev_per_atom": 0, "cell": [[-1.812, -1.979, -4.041], [-3.582, 2.227, -2.396], [0.873, 2.053, -4.308]], "species": ["Be", "Bi", "Fe", "Tl"], "fractional_positions": [[0.750, 0.750, 0.750], [0.000, 0.000, 0.000], [0.250, 0.250, 0.250], [0.500, 0.500, 0.500]]}

# 2
{"formula": "BeFeBiW", "functional": "GGA-PBE", "state": "relaxed", "m_tot_mub_per_cell": 2.1, "sg": "F-43m (216)", "mass_density_g_cm3": 12.209, "relative_energy_mev_per_atom": 72, "cell": [[-2.853, 1.118, 3.225], [-0.569, 4.277, 1.082], [-3.808, 2.064, -1.016]], "species": ["Be", "Bi", "Fe", "W"], "fractional_positions": [[0.500, 0.500, 0.500], [0.000, 0.000, 0.000], [0.750, 0.750, 0.750], [0.250, 0.250, 0.250]]}

# 3
{"formula": "BeFeBiW", "functional": "GGA-PBE", "state": "relaxed", "m_tot_mub_per_cell": 2.7, "sg": "F-43m (216)", "mass_density_g_cm3": 12.474, "relative_energy_mev_per_atom": 0, "cell": [[0.878, -4.158, 1.202], [-2.369, -1.922, 3.194], [-2.839, -3.233, -0.997]], "species": ["Be", "Bi", "Fe", "W"], "fractional_positions": [[0.250, 0.250, 0.250], [0.000, 0.000, 0.000], [0.750, 0.750, 0.750], [0.500, 0.500, 0.500]]}

# 4
{"formula": "YBeFeBi", "functional": "GGA-PBE", "state": "relaxed", "m_tot_mub_per_cell": 2.0, "sg": "F-43m (216)", "mass_density_g_cm3": 8.188, "relative_energy_mev_per_atom": 73, "cell": [[0.000, 3.326, 3.326], [3.326, 0.000, 3.326], [3.326, 3.326, 0.000]], "species": ["Be", "Bi", "Fe", "Y"], "fractional_positions": [[0.500, 0.500, 0.500], [0.000, 0.000, 0.000], [0.750, 0.750, 0.750], [0.250, 0.250, 0.250]]}

# 5
{"formula": "YBeFeBi", "functional": "GGA-PBE", "state": "relaxed", "m_tot_mub_per_cell": 1.1, "sg": "F-43m (216)", "mass_density_g_cm3": 8.501, "relative_energy_mev_per_atom": 0, "cell": [[0.301, -4.454, 1.282], [-3.848, -2.574, 0.375], [-0.852, -3.367, -3.084]], "species": ["Be", "Bi", "Fe", "Y"], "fractional_positions": [[0.750, 0.750, 0.750], [0.500, 0.500, 0.500], [0.250, 0.250, 0.250], [0.000, 0.000, 0.000]]}

# 6
{"formula": "YBeFeBi", "functional": "GGA-PBE", "state": "relaxed", "m_tot_mub_per_cell": 2.0, "sg": "F-43m (216)", "mass_density_g_cm3": 7.457, "relative_energy_mev_per_atom": 157, "cell": [[3.532, -2.934, -1.569], [3.351, -1.637, 3.103], [0.026, -4.675, 1.299]], "species": ["Be", "Bi", "Fe", "Y"], "fractional_positions": [[0.750, 0.750, 0.750], [0.000, 0.000, 0.000], [0.500, 0.500, 0.500], [0.250, 0.250, 0.250]]}

# 7
{"formula": "BeZnFeBi", "functional": "GGA-PBE", "state": "relaxed", "m_tot_mub_per_cell": 2.3, "sg": "F-43m (216)", "mass_density_g_cm3": 8.770, "relative_energy_mev_per_atom": 31, "cell": [[0.000, 3.179, 3.179], [3.179, 0.000, 3.179], [3.179, 3.179, 0.000]], "species": ["Be", "Bi", "Fe", "Zn"], "fractional_positions": [[0.000, 0.000, 0.000], [0.250, 0.250, 0.250], [0.750, 0.750, 0.750], [0.500, 0.500, 0.500]]}

# 8
{"formula": "BeZnFeBi", "functional": "GGA-PBE", "state": "relaxed", "m_tot_mub_per_cell": 1.0, "sg": "F-43m (216)", "mass_density_g_cm3": 9.114, "relative_energy_mev_per_atom": 0, "cell": [[-1.881, 0.640, 3.969], [0.058, 4.030, 1.859], [-3.752, 2.348, 0.325]], "species": ["Be", "Bi", "Fe", "Zn"], "fractional_positions": [[0.750, 0.750, 0.750], [0.000, 0.000, 0.000], [0.250, 0.250, 0.250], [0.500, 0.500, 0.500]]}